Material: ErZrGe
Method: DFT, GGA-PBE
State: optimized geometry

CIF file:
```
data_ErZrGe
_chemical_formula_sum 'Er1 Zr1 Ge1'
_symmetry_space_group_name_H-M 'P 1'
_symmetry_Int_Tables_number 1
_cell_length_a 6.2966
_cell_length_b 6.1372
_cell_length_c 3.5029
_cell_angle_alpha 76.16
_cell_angle_beta 71.15
_cell_angle_gamma 32.69
loop_
_symmetry_equiv_pos_as_xyz
'x,y,z'
loop_
_atom_site_label
_atom_site_type_symbol
_atom_site_fract_x
_atom_site_fract_y
_atom_site_fract_z
_atom_site_occupancy
Er1 Er 0.0000 0.0000 0.0000 1
Zr1 Zr 0.3008 0.3008 0.6992 1
Ge1 Ge 0.6647 0.6647 0.3353 1
```

Final energy   -6.293 eV/atom
DFT formation energy   -0.384 eV per atom
Volume   23.0 Å³/atom